A plane-wave DFT calculation with PBE was carried out for a geometry-optimized TbDy2Y4Mg structure.

The calculation puts the energy of formation from the pure elements at 2.20 kJ per mole of atoms.

The space group is Pmmm (No. 47) and the conventional cell measures 4.970, 4.980 and 10.024 Å, with angles of 90.00, 90.00 and 90.00 degrees. Symmetry generates all atoms from Tb at (0.000, 0.000, 0.000), Dy at (0.000, 0.000, 0.500), Dy at (0.500, 0.500, 0.000), Y at (0.000, 0.500, 0.253), Y at (0.500, 0.000, 0.253) and Mg at (0.500, 0.500, 0.500).